No. 1
## CaRhCl2 (GGA-PBE)

Data for CaRhCl2 after structural relaxation.

```
4
Lattice="0.0000 3.3719 3.3719 3.3719 0.0000 3.3719 3.3719 3.3719 0.0000" Properties=species:S:1:pos:R:3 pbc="T T T"
Cl 1.6859 1.6859 1.6859
Cl 5.0578 5.0578 5.0578
Ca 0.0000 0.0000 0.0000
Rh 3.3719 3.3719 3.3719
```

Computed properties:
Its calculated total energy is -16.186 eV per cell. The value obtained for the total magnetization is 1.0 μB/cell. The calculation puts the energy relative to the elements, uncorrected at -0.79 eV per atom. The calculation puts the offset from the most stable computed form at 0.210 eV per atom.



No. 2
## CaRh4Cl (GGA-PBE)

Data for CaRh4Cl after structural relaxation.

```
6
Lattice="0.0000 3.7686 3.7686 3.7686 0.0000 3.7686 3.7686 3.7686 0.0000" Properties=species:S:1:pos:R:3 pbc="T T T"
Rh 2.8282 4.7090 4.7090
Rh 4.7090 4.7090 2.8282
Rh 4.7090 2.8282 4.7090
Rh 2.8282 2.8282 2.8282
Ca 5.6529 5.6529 5.6529
Cl 0.0000 0.0000 0.0000
```

Computed properties:
Its calculated total energy is -31.992 eV per cell. The value obtained for the total magnetization is 2.7 μB/cell. The calculation puts the energy relative to the elements, uncorrected at 0.21 eV per atom.



No. 3
## CaRhCl2 (GGA-PBE)

Data for CaRhCl2 after structural relaxation.

```
4
Lattice="3.9977 0.0000 0.0000 0.0000 4.7115 0.0109 0.0000 0.2542 4.7054" Properties=species:S:1:pos:R:3 pbc="T T T"
Cl 0.0000 0.1203 0.1146
Cl 0.0000 2.3626 2.2436
Rh 1.9988 1.2414 1.1791
Ca 1.9988 3.7243 3.5372
```

Computed properties:
Its calculated total energy is -16.627 eV per cell. The value obtained for the total magnetization is 1.0 μB/cell. The calculation puts the energy relative to the elements, uncorrected at -0.90 eV per atom. The calculation puts the offset from the most stable computed form at 0.099 eV per atom.



No. 4
## CaRh2Cl (GGA-PBE)

Data for CaRh2Cl after structural relaxation.

```
4
Lattice="-2.2909 0.5302 -2.5453 -2.0253 -2.4911 1.3039 -2.7982 4.0329 3.3586" Properties=species:S:1:pos:R:3 pbc="T T T"
Rh -1.4592 2.1031 1.7514
Rh -2.7381 3.9463 3.2865
Cl -4.2567 2.0442 1.8983
Ca -2.8576 0.0278 0.2190
```

Computed properties:
Its calculated total energy is -17.847 eV per cell. The value obtained for the total magnetization is 0.0 μB/cell. The calculation puts the energy relative to the elements, uncorrected at 0.18 eV per atom. The calculation puts the offset from the most stable computed form at 0.639 eV per atom.